# LiV5O10, optimized geometry, DFT PBE with a Hubbard U
# crystal system	monoclinic
# energy	-240.83	eV/cell
# ρ	3.915	g cm⁻³
data_LiV5O10
_chemical_formula_sum 'Li2 V10 O20'
_space_group_name_H-M_alt 'C 1 2 1'
_space_group_IT_number 5
_cell_length_a 5.285
_cell_length_b 13.792
_cell_length_c 5.568
_cell_angle_alpha 90.00
_cell_angle_beta 118.21
_cell_angle_gamma 90.00
loop_
_space_group_symop_operation_xyz
'x,y,z'
'-x,y,-z'
'x+1/2,y+1/2,z'
'-x+1/2,y+1/2,-z'
loop_
_atom_site_label
_atom_site_type_symbol
_atom_site_fract_x
_atom_site_fract_y
_atom_site_fract_z
Li1 Li 0.000 0.000 0.000
V1 V 0.000 0.088 0.500
V2 V 0.000 0.388 0.000
V3 V 0.000 0.470 0.500
V4 V 0.000 0.693 0.500
V5 V 0.000 0.775 0.000
O1 O 0.213 0.785 0.807
O2 O 0.221 0.478 0.282
O3 O 0.224 0.386 0.795
O4 O 0.225 0.683 0.287
O5 O 0.234 0.078 0.311


# LiV2WO6, optimized geometry, DFT PBE with a Hubbard U
# crystal system	triclinic
# energy	-74.09	eV/cell
# ρ	5.775	g cm⁻³
data_LiV2WO6
_chemical_formula_sum 'Li1 V2 W1 O6'
_space_group_name_H-M_alt 'P 1'
_space_group_IT_number 1
_cell_length_a 5.127
_cell_length_b 5.239
_cell_length_c 5.590
_cell_angle_alpha 117.00
_cell_angle_beta 91.03
_cell_angle_gamma 118.76
loop_
_space_group_symop_operation_xyz
'x,y,z'
loop_
_atom_site_label
_atom_site_type_symbol
_atom_site_fract_x
_atom_site_fract_y
_atom_site_fract_z
Li1 Li 0.000 0.000 0.000
V1 V 0.270 0.550 0.837
V2 V 0.769 0.543 0.350
W1 W 0.469 0.945 0.434
O1 O 0.074 0.730 0.142
O2 O 0.173 0.735 0.627
O3 O 0.395 0.470 0.141
O4 O 0.524 0.401 0.617
O5 O 0.657 0.065 0.149
O6 O 0.851 0.046 0.623


# Li6V3W3O16, optimized geometry, DFT PBE with a Hubbard U
# crystal system	triclinic
# energy	-192.30	eV/cell
# ρ	5.079	g cm⁻³
data_Li6V3W3O16
_chemical_formula_sum 'Li6 V3 W3 O16'
_space_group_name_H-M_alt 'P 1'
_space_group_IT_number 1
_cell_length_a 6.073
_cell_length_b 6.077
_cell_length_c 10.136
_cell_angle_alpha 88.79
_cell_angle_beta 88.77
_cell_angle_gamma 61.15
loop_
_space_group_symop_operation_xyz
'x,y,z'
loop_
_atom_site_label
_atom_site_type_symbol
_atom_site_fract_x
_atom_site_fract_y
_atom_site_fract_z
Li1 Li 0.000 0.000 0.000
Li2 Li 0.005 0.004 0.634
Li3 Li 0.324 0.339 0.489
Li4 Li 0.335 0.329 0.136
Li5 Li 0.649 0.663 0.526
Li6 Li 0.662 0.667 0.030
V1 V 0.336 0.843 0.310
V2 V 0.501 0.502 0.812
V3 V 0.828 0.337 0.311
W1 W 0.007 0.503 0.810
W2 W 0.503 0.008 0.810
W3 W 0.843 0.839 0.311
O1 O 0.142 0.695 0.205
O2 O 0.167 0.138 0.217
O3 O 0.177 0.648 0.709
O4 O 0.180 0.181 0.705
O5 O 0.327 0.327 0.924
O6 O 0.366 0.826 0.917
O7 O 0.492 0.534 0.407
O8 O 0.524 0.971 0.417
O9 O 0.648 0.178 0.709
O10 O 0.668 0.688 0.209
O11 O 0.677 0.678 0.705
O12 O 0.694 0.145 0.206
O13 O 0.822 0.823 0.921
O14 O 0.825 0.367 0.918
O15 O 0.961 0.527 0.417
O16 O 0.994 0.985 0.423